CrPdOF2 after structural relaxation, computed with PBE with a Hubbard U.

Cell: 4.237 4.237 3.987 Å, 90.00 90.00 90.00°
Sites, in units of the cell vectors:
Cr (0.000, 0.000, 0.000)
Pd (0.500, 0.500, 0.500)
O (0.500, 0.500, 0.000)
F (0.000, 0.500, 0.500)
F (0.500, 0.000, 0.500)

Results
polymorph energy (0 for the lowest one): 534 meV per atom
total magnetization: 4.281 μB/cell
calculated density: 4.93 g/cm3
final energy: -5.05 eV/atom
space group: No. 123